Record 1
The following is a DFT calculation (meta-GGA SCAN) of a PBEsol-optimized structure of NaCuPb3.

Lattice parameters (Å, degrees): 5.242 5.242 5.242 90.00 90.00 90.00
Positions (direct):
Na 0.000 0.000 0.000
Cu 0.500 0.500 0.500
Pb 0.000 0.500 0.500
Pb 0.500 0.000 0.500
Pb 0.500 0.500 0.000

## Properties
Total magnetization, μB/cell: 0.0
Formation energy, kJ/mol of formula units: 49
Crystal system: cubic



Record 2
The following is a DFT calculation (meta-GGA SCAN) of a PBEsol-optimized structure of NaCuPd3.

Lattice parameters (Å, degrees): 4.486 4.486 4.486 90.00 90.00 90.00
Positions (direct):
Na 0.000 0.000 0.000
Cu 0.500 0.500 0.500
Pd 0.000 0.000 0.500
Pd 0.000 0.500 0.000
Pd 0.500 0.000 0.000

## Properties
Total magnetization, μB/cell: 0.0
Formation energy, kJ/mol of formula units: 590
Crystal system: cubic



Record 3
The following is a DFT calculation (meta-GGA SCAN) of a PBEsol-optimized structure of Na2CuTePd.

Lattice parameters (Å, degrees): 5.072 5.072 4.758 90.00 90.00 90.00
Positions (direct):
Na 0.000 0.500 0.000
Na 0.500 0.000 0.000
Cu 0.000 0.000 0.500
Te 0.500 0.500 0.500
Pd 0.000 0.000 0.000

## Properties
Total magnetization, μB/cell: 0.0
Crystal system: tetragonal
Raw formation energy, meV/atom: 219



Record 4
The following is a DFT calculation (meta-GGA SCAN) of a PBEsol-optimized structure of Na2CuSbPt.

Lattice parameters (Å, degrees): 5.797 5.797 4.822 90.00 90.00 90.00
Positions (direct):
Na 0.000 0.500 0.000
Na 0.500 0.000 0.000
Cu 0.000 0.000 0.500
Sb 0.500 0.500 0.000
Pt 0.500 0.500 0.500

## Properties
Total magnetization, μB/cell: 0.0
Crystal system: tetragonal
Raw formation energy, meV/atom: 533



Record 5
The following is a DFT calculation (meta-GGA SCAN) of a PBEsol-optimized structure of Rb3NaCu.

Lattice parameters (Å, degrees): 6.627 6.627 6.627 90.00 90.00 90.00
Positions (direct):
Rb 0.000 0.000 0.500
Rb 0.000 0.500 0.000
Rb 0.500 0.000 0.000
Na 0.500 0.500 0.500
Cu 0.000 0.000 0.000

## Properties
Total magnetization, μB/cell: 0.0
Formation energy, kJ/mol of formula units: 131
Crystal system: cubic



Record 6
The following is a DFT calculation (meta-GGA SCAN) of a PBEsol-optimized structure of RbNa2TaCu.

Lattice parameters (Å, degrees): 5.592 5.592 4.851 90.00 90.00 90.00
Positions (direct):
Rb 0.000 0.000 0.000
Na 0.000 0.500 0.500
Na 0.500 0.000 0.500
Ta 0.500 0.500 0.000
Cu 0.500 0.500 0.500

## Properties
Total magnetization, μB/cell: 2.7
Formation energy, kJ/mol of formula units: 458
Crystal system: tetragonal